Entry from Alexandria: a relaxed structure of NaNiPb3 (PBE).

Computed properties:
Volume, Å³/atom: 28.78
Total magnetization, μB per formula unit: 0.00
Relative energy among the computed polymorphs, eV per atom: 0.000
Calculated total energy, eV per cell: -17.87
Symmetry: No. 221
Formation energy from the elements, eV per atom: 0.070

Lattice parameters (Å, degrees): 5.240 5.240 5.240 90.00 90.00 90.00
Element x y z (fractional)
1 Na 0.500 0.500 0.500
2 Pb 0.500 0.000 0.000
3 Pb 0.000 0.000 0.500
4 Pb 0.000 0.500 0.000
5 Ni 0.000 0.000 0.000

=====

Entry from Alexandria: a relaxed structure of SmPu2AgO8 (PBE).

Computed properties:
Volume, Å³/atom: 12.88
Total magnetization, μB per formula unit: 0.03
Calculated total energy, eV per cell: -102.87
Raw formation energy, eV/f.u.: -27.0
Symmetry: No. 119

Lattice parameters (Å, degrees): 5.427 5.427 6.502 114.66 114.66 90.00
Element x y z (fractional)
1 O 0.370 0.401 0.248
2 O 0.153 0.630 0.752
3 O 0.599 0.630 0.752
4 O 0.878 0.847 0.248
5 O 0.878 0.401 0.248
6 O 0.153 0.122 0.752
7 O 0.599 0.122 0.752
8 O 0.370 0.847 0.248
9 Pu 0.250 0.750 0.500
10 Pu 0.500 0.500 0.000
11 Ag 0.750 0.250 0.500
12 Sm 0.000 0.000 0.000

=====

Entry from Alexandria: a relaxed structure of HfSnPdAu (PBE).

Computed properties:
Volume, Å³/atom: 19.05
Total magnetization, μB per formula unit: 0.00
Calculated total energy, eV per cell: -24.28
Symmetry: No. 216
Formation energy from the elements, eV per atom: -0.464

Lattice parameters (Å, degrees): 4.759 4.759 4.759 60.00 60.00 60.00
Element x y z (fractional)
1 Sn 0.500 0.500 0.500
2 Au 0.250 0.250 0.250
3 Hf 0.000 0.000 0.000
4 Pd 0.750 0.750 0.750

=====

- Which formula does entry 3 have?
  HfSnPdAu